Computed, not measured: Rb2Sb2Pt after structural relaxation at the GGA-PBE level of DFT.

## Properties
Raw formation energy = -0.427 eV per atom
M_tot = 0.00 μB per formula unit
Total DFT energy (no corrections) = -3.671 eV per atom

Cell and atoms, written as CIF:
```
data_Rb2Sb2Pt
_chemical_formula_sum 'Rb4 Sb4 Pt2'
_symmetry_space_group_name_H-M 'P 1'
_symmetry_Int_Tables_number 1
_symmetry_space_group_name_Hall 'P 1'
_cell_length_a 4.8652
_cell_length_b 7.0673
_cell_length_c 11.2276
_cell_angle_alpha 90.03
_cell_angle_beta 77.49
_cell_angle_gamma 69.87
loop_
_atom_site_label
_atom_site_type_symbol
_atom_site_fract_x
_atom_site_fract_y
_atom_site_fract_z
Pt1 Pt 0.6653 0.0108 0.6585
Pt2 Pt 0.3347 0.9892 0.3415
Rb1 Rb 0.3683 0.5967 0.6668
Rb2 Rb 0.0905 0.7144 0.1045
Rb3 Rb 0.6317 0.4033 0.3332
Rb4 Rb 0.9095 0.2856 0.8955
Sb1 Sb 0.8509 0.8761 0.4220
Sb2 Sb 0.3802 0.1207 0.1190
Sb3 Sb 0.1491 0.1239 0.5780
Sb4 Sb 0.6198 0.8793 0.8810
```

***

Computed, not measured: Rb3Sb4Pt after structural relaxation at the GGA-PBE level of DFT.

## Properties
Raw formation energy = -0.304 eV per atom
M_tot = 0.00 μB per formula unit
Total DFT energy (no corrections) = -3.483 eV per atom

Cell and atoms, written as CIF:
```
data_Rb3Sb4Pt
_chemical_formula_sum 'Rb6 Sb8 Pt2'
_symmetry_space_group_name_H-M 'P 1'
_symmetry_Int_Tables_number 1
_symmetry_space_group_name_Hall 'P 1'
_cell_length_a 6.2706
_cell_length_b 7.0874
_cell_length_c 13.7206
_cell_angle_alpha 90.00
_cell_angle_beta 90.00
_cell_angle_gamma 90.00
loop_
_atom_site_label
_atom_site_type_symbol
_atom_site_fract_x
_atom_site_fract_y
_atom_site_fract_z
Pt1 Pt 0.6742 0.5000 0.0000
Pt2 Pt 0.3258 0.0000 0.5000
Rb1 Rb 0.8402 0.5000 0.7441
Rb2 Rb 0.4765 0.5000 0.5000
Rb3 Rb 0.5235 0.0000 0.0000
Rb4 Rb 0.8402 0.5000 0.2559
Rb5 Rb 0.1598 0.0000 0.7559
Rb6 Rb 0.1598 0.0000 0.2441
Sb1 Sb 0.6544 0.0000 0.3781
Sb2 Sb 0.3456 0.5000 0.8781
Sb3 Sb 0.3456 0.5000 0.1219
Sb4 Sb 0.0147 0.7249 0.0000
Sb5 Sb 0.6544 0.0000 0.6219
Sb6 Sb 0.9853 0.7751 0.5000
Sb7 Sb 0.0147 0.2751 0.0000
Sb8 Sb 0.9853 0.2249 0.5000
```

***

Computed, not measured: RbSbPt2 after structural relaxation at the GGA-PBE level of DFT.

## Properties
Excess energy over the best structure of this formula in the dataset = 0.0000 eV per atom
Raw formation energy = -0.317 eV per atom
M_tot = 0.00 μB per formula unit
Total DFT energy (no corrections) = -4.610 eV per atom

Cell and atoms, written as CIF:
```
data_RbSbPt2
_chemical_formula_sum 'Rb1 Sb1 Pt2'
_symmetry_space_group_name_H-M 'P 1'
_symmetry_Int_Tables_number 1
_symmetry_space_group_name_Hall 'P 1'
_cell_length_a 4.6169
_cell_length_b 4.6169
_cell_length_c 6.8034
_cell_angle_alpha 70.17
_cell_angle_beta 70.17
_cell_angle_gamma 60.00
loop_
_atom_site_label
_atom_site_type_symbol
_atom_site_fract_x
_atom_site_fract_y
_atom_site_fract_z
Rb1 Rb 0.5000 0.5000 0.5000
Pt1 Pt 0.6882 0.6882 0.9355
Pt2 Pt 0.3118 0.3118 0.0645
Sb1 Sb 0.0000 0.0000 0.0000
```

***

Computed, not measured: RbSbPt3 after structural relaxation at the GGA-PBE level of DFT.

## Properties
Excess energy over the best structure of this formula in the dataset = 0.0000 eV per atom
Raw formation energy = -0.200 eV per atom
M_tot = 0.00 μB per formula unit
Total DFT energy (no corrections) = -4.842 eV per atom

Cell and atoms, written as CIF:
```
data_RbSbPt3
_chemical_formula_sum 'Rb2 Sb2 Pt6'
_symmetry_space_group_name_H-M 'P 1'
_symmetry_Int_Tables_number 1
_symmetry_space_group_name_Hall 'P 1'
_cell_length_a 6.4735
_cell_length_b 6.1335
_cell_length_c 6.4707
_cell_angle_alpha 90.00
_cell_angle_beta 119.26
_cell_angle_gamma 90.00
loop_
_atom_site_label
_atom_site_type_symbol
_atom_site_fract_x
_atom_site_fract_y
_atom_site_fract_z
Rb1 Rb 0.7726 0.9476 0.0247
Rb2 Rb 0.2617 0.4476 0.5359
Sb1 Sb 0.1172 0.9476 0.6804
Sb2 Sb 0.9171 0.4476 0.8801
Pt1 Pt 0.7285 0.6979 0.4918
Pt2 Pt 0.7285 0.1974 0.4918
Pt3 Pt 0.3495 0.9476 0.4473
Pt4 Pt 0.3058 0.1979 0.0688
Pt5 Pt 0.6848 0.4476 0.1133
Pt6 Pt 0.3058 0.6974 0.0688
```

***

Computed, not measured: RbSbPt3 after structural relaxation at the GGA-PBE level of DFT.

## Properties
Excess energy over the best structure of this formula in the dataset = 0.5123 eV per atom
Raw formation energy = 0.312 eV per atom
M_tot = 0.00 μB per formula unit
Total DFT energy (no corrections) = -4.330 eV per atom

Cell and atoms, written as CIF:
```
data_RbSbPt3
_chemical_formula_sum 'Rb1 Sb1 Pt3'
_symmetry_space_group_name_H-M 'P 1'
_symmetry_Int_Tables_number 1
_symmetry_space_group_name_Hall 'P 1'
_cell_length_a 5.1103
_cell_length_b 5.1103
_cell_length_c 5.1103
_cell_angle_alpha 90.00
_cell_angle_beta 90.00
_cell_angle_gamma 90.00
loop_
_atom_site_label
_atom_site_type_symbol
_atom_site_fract_x
_atom_site_fract_y
_atom_site_fract_z
Pt1 Pt 0.0000 0.5000 0.0000
Pt2 Pt 0.5000 0.0000 0.0000
Pt3 Pt 0.0000 0.0000 0.5000
Sb1 Sb 0.0000 0.0000 0.0000
Rb1 Rb 0.5000 0.5000 0.5000
```

***

Computed, not measured: RbSb2Pt4 after structural relaxation at the GGA-PBE level of DFT.

## Properties
Raw formation energy = -0.341 eV per atom
M_tot = 0.00 μB per formula unit
Total DFT energy (no corrections) = -5.109 eV per atom

Cell and atoms, written as CIF:
```
data_RbSb2Pt4
_chemical_formula_sum 'Rb1 Sb2 Pt4'
_symmetry_space_group_name_H-M 'P 1'
_symmetry_Int_Tables_number 1
_symmetry_space_group_name_Hall 'P 1'
_cell_length_a 4.0284
_cell_length_b 4.0961
_cell_length_c 10.4863
_cell_angle_alpha 101.26
_cell_angle_beta 90.00
_cell_angle_gamma 90.00
loop_
_atom_site_label
_atom_site_type_symbol
_atom_site_fract_x
_atom_site_fract_y
_atom_site_fract_z
Pt1 Pt 0.5000 0.7994 0.5988
Pt2 Pt 0.0000 0.6988 0.3976
Pt3 Pt 0.5000 0.2006 0.4012
Pt4 Pt 0.0000 0.3012 0.6024
Sb1 Sb 0.5000 0.6178 0.2356
Sb2 Sb 0.5000 0.3822 0.7644
Rb1 Rb 0.0000 0.0000 0.0000
```